Entry 1:
GGA-PBE La3CoIr, relaxed; E_tot = -30.5 eV per cell; DOS at the Fermi energy = 3.53 states/eV per cell
1.0
5.139 0.000 0.000
0.000 5.139 0.000
0.000 0.000 5.139
La Co Ir
3 1 1
Direct
0.000 0.000 0.500 La
0.000 0.500 0.000 La
0.500 0.000 0.000 La
0.000 0.000 0.000 Co
0.500 0.500 0.500 Ir



Entry 2:
GGA-PBE LaCo2Ir, relaxed; E_tot = -25.5 eV per cell; DOS at the Fermi energy = 6.82 states/eV per cell
1.0
1.437 0.830 9.240
-1.437 0.830 9.240
0.000 -1.659 9.240
La Co Ir
1 2 1
Direct
0.000 0.000 0.000 La
0.238 0.238 0.238 Co
0.762 0.762 0.762 Co
0.500 0.500 0.500 Ir



Entry 3:
GGA-PBE La2CoIr, relaxed; E_tot = -26.4 eV per cell; DOS at the Fermi energy = 4.81 states/eV per cell
1.0
4.136 0.000 0.000
0.000 4.136 0.000
0.000 0.000 5.814
La Co Ir
2 1 1
Direct
0.000 0.000 0.000 La
0.500 0.500 0.499 La
0.500 0.500 0.999 Co
0.000 0.000 0.500 Ir



Entry 4:
GGA-PBE LaCo2Ir, relaxed; E_tot = -55.3 eV per cell; DOS at the Fermi energy = 10.73 states/eV per cell
1.0
-2.202 2.202 8.618
2.202 -2.202 8.618
2.202 2.202 -8.618
La Co Ir
2 4 2
Direct
0.375 0.625 0.750 La
0.625 0.375 0.250 La
0.000 0.000 0.000 Co
0.000 0.000 0.500 Co
0.000 0.500 0.000 Co
0.500 0.000 0.500 Co
0.125 0.875 0.250 Ir
0.875 0.125 0.750 Ir



Entry 5:
GGA-PBE La2CoIr, relaxed; E_tot = -23.4 eV per cell; DOS at the Fermi energy = 4.44 states/eV per cell
1.0
-1.550 2.632 5.146
1.550 -2.632 5.146
1.550 2.632 -5.146
La Co Ir
2 1 1
Direct
0.234 0.234 0.000 La
0.766 0.766 0.000 La
0.000 0.000 0.000 Co
0.500 0.500 0.000 Ir



Entry 6:
GGA-PBE La2CoIr, relaxed; E_tot = -25.9 eV per cell; DOS at the Fermi energy = 7.54 states/eV per cell
1.0
0.000 3.450 3.450
3.450 0.000 3.450
3.450 3.450 0.000
La Co Ir
2 1 1
Direct
0.000 0.000 0.000 La
0.250 0.250 0.250 La
0.500 0.500 0.500 Co
0.750 0.750 0.750 Ir



Entry 7:
GGA-PBE LaCo2Ir, relaxed; E_tot = -27.5 eV per cell; DOS at the Fermi energy = 5.96 states/eV per cell
1.0
3.917 0.000 0.000
0.000 1.820 4.823
0.000 -1.820 4.823
La Co Ir
1 2 1
Direct
0.000 0.000 0.000 La
0.000 0.741 0.741 Co
0.500 0.614 0.614 Co
0.500 0.292 0.292 Ir



Entry 8:
GGA-PBE La2CoIr, relaxed; E_tot = -27.0 eV per cell; DOS at the Fermi energy = 1.73 states/eV per cell
1.0
4.997 0.000 0.000
0.000 4.997 0.000
0.000 0.000 3.629
La Co Ir
2 1 1
Direct
0.000 0.500 0.000 La
0.500 0.000 0.000 La
0.000 0.000 0.500 Co
0.500 0.500 0.500 Ir



Q: Which of these has the highest DOS at the Fermi energy?
A: number 4